Below is a relaxed CoOF3 crystal, with properties calculated at the PBE+U level.

Summary:
M_tot (μB per formula unit): 4.94
Volume (Å³ per atom): 13.31
Uncorrected energy (eV/atom): -4.508
DOS at the Fermi energy (states/eV/cell): 10.4

a = 5.3498 Å, b = 5.5116 Å, c = 9.5474 Å
α = 90.00°, β = 108.95°, γ = 90.00°
Sites, in units of the cell vectors:
Co 0.0007 0.2500 0.0834
Co 0.0007 0.7500 0.5834
Co 0.9993 0.2500 0.4166
Co 0.9993 0.7500 0.9166
O 0.1203 0.2494 0.7827
O 0.1203 0.7506 0.2827
O 0.8797 0.2494 0.7173
O 0.8797 0.7506 0.2173
F 0.2294 0.0046 0.5479
F 0.2292 0.2512 0.2940
F 0.2293 0.4959 0.5474
F 0.2293 0.5041 0.0474
F 0.2292 0.7488 0.7940
F 0.2294 0.9954 0.0479
F 0.7706 0.0046 0.9521
F 0.7708 0.2512 0.2060
F 0.7707 0.4959 0.9526
F 0.7707 0.5041 0.4526
F 0.7708 0.7488 0.7060
F 0.7706 0.9954 0.4521